A relaxed structure of CrGaNO2. Source: the Alexandria database, functional PBE+U.

Calculated values
As for the total DFT energy (no corrections): -30.01 eV/cell. The symmetry is P4/mmm, No. 123.

Lattice parameters (Å, degrees): 3.6404 3.6404 4.1889 90.00 90.00 90.00
Last column: nearest neighbours and their distance in Å.
Element x y z (fractional)
Cr  0.0000  0.0000  0.0000  4 O 1.82
Ga  0.5000  0.5000  0.5000  4 N 2.57, 8 O 2.77
N  0.0000  0.0000  0.5000  2 Cr 2.09
O  0.0000  0.5000  0.0000  2 Cr 1.82
O  0.5000  0.0000  0.0000  2 Cr 1.82